[1]
First-principles (PBE-GGA) data for a geometry-optimized Cs3PuSe3 structure, as listed in Alexandria via LeMat-Bulk.

Geometry as CIF:
```
data_Cs3PuSe3
_symmetry_space_group_name_H-M 'P 1'
_symmetry_Int_Tables_number 1
_symmetry_space_group_name_Hall 'P 1'
_cell_length_a 9.069
_cell_length_b 9.069
_cell_length_c 8.916
_cell_angle_alpha 95.81
_cell_angle_beta 95.81
_cell_angle_gamma 113.64
loop_
_atom_site_label
_atom_site_fract_x
_atom_site_fract_y
_atom_site_fract_z
Cs1 0.752 0.248 0.000
Cs2 0.378 0.378 0.638
Cs3 0.622 0.622 0.362
Cs4 0.180 0.820 0.500
Cs5 0.248 0.752 0.000
Cs6 0.820 0.180 0.500
Se1 0.093 0.093 0.817
Se2 0.907 0.907 0.183
Se3 0.838 0.544 0.725
Se4 0.456 0.162 0.275
Se5 0.544 0.838 0.725
Se6 0.162 0.456 0.275
Pu1 0.180 0.180 0.140
Pu2 0.820 0.820 0.860
```

For the raw formation energy, the calculation gives -826 kJ/mol of formula units. The calculated total energy is -5.130 eV per atom. Its space-group type is C2/m, No. 12.

***

[2]
First-principles (PBE-GGA) data for a geometry-optimized Cs4Sm3PuSe8 structure, as listed in Alexandria via LeMat-Bulk.

Geometry as CIF:
```
data_Cs4Sm3PuSe8
_symmetry_space_group_name_H-M 'P 1'
_symmetry_Int_Tables_number 1
_symmetry_space_group_name_Hall 'P 1'
_cell_length_a 8.720
_cell_length_b 9.773
_cell_length_c 8.719
_cell_angle_alpha 116.50
_cell_angle_beta 120.00
_cell_angle_gamma 90.00
loop_
_atom_site_label
_atom_site_fract_x
_atom_site_fract_y
_atom_site_fract_z
Sm1 0.000 0.500 0.500
Sm2 0.500 0.500 0.000
Sm3 0.500 0.500 0.500
Cs1 0.500 0.000 0.000
Cs2 0.000 0.000 0.500
Cs3 0.500 0.000 0.500
Cs4 0.000 0.000 0.000
Se1 0.270 0.311 0.540
Se2 0.270 0.313 0.042
Se3 0.730 0.689 0.460
Se4 0.771 0.313 0.543
Se5 0.229 0.687 0.457
Se6 0.229 0.687 0.958
Se7 0.771 0.313 0.042
Se8 0.730 0.687 0.958
Pu1 0.000 0.500 0.000
```

For the raw formation energy, the calculation gives -2543 kJ/mol of formula units. The calculated total energy is -5.384 eV per atom. Its space-group type is R-3m, No. 166.

***

[3]
First-principles (PBE-GGA) data for a geometry-optimized Cs2SmPuSe4 structure, as listed in Alexandria via LeMat-Bulk.

Geometry as CIF:
```
data_Cs2SmPuSe4
_symmetry_space_group_name_H-M 'P 1'
_symmetry_Int_Tables_number 1
_symmetry_space_group_name_Hall 'P 1'
_cell_length_a 4.352
_cell_length_b 7.555
_cell_length_c 8.731
_cell_angle_alpha 106.74
_cell_angle_beta 90.00
_cell_angle_gamma 90.00
loop_
_atom_site_label
_atom_site_fract_x
_atom_site_fract_y
_atom_site_fract_z
Se1 0.000 0.730 0.188
Se2 0.500 0.774 0.815
Se3 0.000 0.270 0.812
Se4 0.500 0.226 0.185
Pu1 0.000 0.000 0.000
Cs1 0.500 0.000 0.500
Cs2 0.000 0.500 0.500
Sm1 0.500 0.500 0.000
```

For the raw formation energy, the calculation gives -1214 kJ/mol of formula units. The calculated total energy is -5.910 eV per atom. Its space-group type is P2/m, No. 10.

***

[4]
First-principles (PBE-GGA) data for a geometry-optimized CsPu2SnSe4 structure, as listed in Alexandria via LeMat-Bulk.

Geometry as CIF:
```
data_CsPu2SnSe4
_symmetry_space_group_name_H-M 'P 1'
_symmetry_Int_Tables_number 1
_symmetry_space_group_name_Hall 'P 1'
_cell_length_a 4.328
_cell_length_b 7.721
_cell_length_c 16.596
_cell_angle_alpha 90.00
_cell_angle_beta 90.00
_cell_angle_gamma 106.28
loop_
_atom_site_label
_atom_site_fract_x
_atom_site_fract_y
_atom_site_fract_z
Se1 0.000 0.000 0.000
Se2 0.744 0.488 0.589
Se3 0.256 0.512 0.411
Se4 0.568 0.137 0.250
Se5 0.256 0.512 0.089
Se6 0.000 0.000 0.500
Se7 0.744 0.488 0.911
Se8 0.432 0.863 0.750
Pu1 0.371 0.741 0.551
Pu2 0.371 0.741 0.949
Pu3 0.629 0.259 0.051
Pu4 0.629 0.259 0.449
Cs1 0.886 0.772 0.250
Cs2 0.114 0.228 0.750
Sn1 0.817 0.634 0.750
Sn2 0.183 0.366 0.250
```

For the raw formation energy, the calculation gives -829 kJ/mol of formula units. The calculated total energy is -7.006 eV per atom. Its space-group type is Cmcm, No. 63.

***

[5]
First-principles (PBE-GGA) data for a geometry-optimized CsPuSnSe3 structure, as listed in Alexandria via LeMat-Bulk.

Geometry as CIF:
```
data_CsPuSnSe3
_symmetry_space_group_name_H-M 'P 1'
_symmetry_Int_Tables_number 1
_symmetry_space_group_name_Hall 'P 1'
_cell_length_a 4.270
_cell_length_b 9.311
_cell_length_c 11.656
_cell_angle_alpha 109.26
_cell_angle_beta 90.00
_cell_angle_gamma 90.00
loop_
_atom_site_label
_atom_site_fract_x
_atom_site_fract_y
_atom_site_fract_z
Se1 0.750 0.420 0.107
Se2 0.250 0.659 0.408
Se3 0.750 0.875 0.207
Se4 0.250 0.580 0.893
Se5 0.750 0.341 0.592
Se6 0.250 0.125 0.793
Pu1 0.750 0.359 0.850
Pu2 0.250 0.641 0.150
Sn1 0.750 0.860 0.432
Sn2 0.250 0.140 0.568
Cs1 0.750 0.771 0.736
Cs2 0.250 0.229 0.264
```

For the raw formation energy, the calculation gives -648 kJ/mol of formula units. The calculated total energy is -6.059 eV per atom. Its space-group type is P2_1/m, No. 11.

***

[6]
First-principles (PBE-GGA) data for a geometry-optimized Cs2PuSnSe4 structure, as listed in Alexandria via LeMat-Bulk.

Geometry as CIF:
```
data_Cs2PuSnSe4
_symmetry_space_group_name_H-M 'P 1'
_symmetry_Int_Tables_number 1
_symmetry_space_group_name_Hall 'P 1'
_cell_length_a 7.664
_cell_length_b 7.664
_cell_length_c 7.664
_cell_angle_alpha 98.22
_cell_angle_beta 115.37
_cell_angle_gamma 115.37
loop_
_atom_site_label
_atom_site_fract_x
_atom_site_fract_y
_atom_site_fract_z
Se1 0.606 0.395 0.470
Se2 0.926 0.530 0.136
Se3 0.074 0.210 0.605
Se4 0.394 0.864 0.790
Pu1 0.500 0.250 0.750
Cs1 0.500 0.750 0.250
Cs2 0.000 0.000 0.000
Sn1 0.000 0.500 0.500
```

For the raw formation energy, the calculation gives -733 kJ/mol of formula units. The calculated total energy is -5.198 eV per atom. Its space-group type is I-4, No. 82.

***

[7]
First-principles (PBE-GGA) data for a geometry-optimized Cs3Tb3PuSe8 structure, as listed in Alexandria via LeMat-Bulk.

Geometry as CIF:
```
data_Cs3Tb3PuSe8
_symmetry_space_group_name_H-M 'P 1'
_symmetry_Int_Tables_number 1
_symmetry_space_group_name_Hall 'P 1'
_cell_length_a 8.458
_cell_length_b 8.458
_cell_length_c 9.832
_cell_angle_alpha 115.50
_cell_angle_beta 90.00
_cell_angle_gamma 120.00
loop_
_atom_site_label
_atom_site_fract_x
_atom_site_fract_y
_atom_site_fract_z
Tb1 0.500 0.500 0.500
Tb2 0.000 0.500 0.500
Tb3 0.500 0.000 0.500
Cs1 0.000 0.500 0.000
Cs2 0.000 0.000 0.000
Cs3 0.500 0.500 0.000
Se1 0.732 0.957 0.681
Se2 0.272 0.543 0.315
Se3 0.775 0.550 0.319
Se4 0.775 0.043 0.319
Se5 0.268 0.043 0.319
Se6 0.225 0.957 0.681
Se7 0.728 0.457 0.685
Se8 0.225 0.450 0.681
Pu1 0.000 0.000 0.500
```

For the raw formation energy, the calculation gives -2378 kJ/mol of formula units. The calculated total energy is -5.554 eV per atom. Its space-group type is R-3m, No. 166.

***

[8]
First-principles (PBE-GGA) data for a geometry-optimized Cs3TbPu3Se8 structure, as listed in Alexandria via LeMat-Bulk.

Geometry as CIF:
```
data_Cs3TbPu3Se8
_symmetry_space_group_name_H-M 'P 1'
_symmetry_Int_Tables_number 1
_symmetry_space_group_name_Hall 'P 1'
_cell_length_a 8.507
_cell_length_b 8.507
_cell_length_c 9.791
_cell_angle_alpha 115.78
_cell_angle_beta 90.00
_cell_angle_gamma 120.00
loop_
_atom_site_label
_atom_site_fract_x
_atom_site_fract_y
_atom_site_fract_z
Pu1 0.000 0.500 0.500
Pu2 0.500 0.000 0.500
Pu3 0.500 0.500 0.500
Cs1 0.000 0.500 0.000
Cs2 0.500 0.500 0.000
Cs3 0.000 0.000 0.000
Tb1 0.000 0.000 0.500
Se1 0.727 0.455 0.682
Se2 0.228 0.954 0.681
Se3 0.273 0.545 0.318
Se4 0.726 0.954 0.681
Se5 0.772 0.046 0.319
Se6 0.772 0.544 0.319
Se7 0.228 0.456 0.681
Se8 0.274 0.046 0.319
```

For the raw formation energy, the calculation gives -2178 kJ/mol of formula units. The calculated total energy is -6.709 eV per atom. Its space-group type is R-3m, No. 166.

***

[9]
First-principles (PBE-GGA) data for a geometry-optimized Cs3TbPu2Se6 structure, as listed in Alexandria via LeMat-Bulk.

Geometry as CIF:
```
data_Cs3TbPu2Se6
_symmetry_space_group_name_H-M 'P 1'
_symmetry_Int_Tables_number 1
_symmetry_space_group_name_Hall 'P 1'
_cell_length_a 7.490
_cell_length_b 7.490
_cell_length_c 8.720
_cell_angle_alpha 98.23
_cell_angle_beta 98.23
_cell_angle_gamma 120.00
loop_
_atom_site_label
_atom_site_fract_x
_atom_site_fract_y
_atom_site_fract_z
Se1 0.270 0.270 0.815
Se2 0.394 0.062 0.185
Se3 0.938 0.606 0.815
Se4 0.606 0.938 0.815
Se5 0.062 0.394 0.185
Se6 0.730 0.730 0.185
Cs1 0.500 0.500 0.500
Cs2 0.834 0.166 0.500
Cs3 0.166 0.834 0.500
Pu1 0.667 0.333 0.000
Pu2 0.333 0.667 0.000
Tb1 0.000 0.000 0.000
```

For the raw formation energy, the calculation gives -1767 kJ/mol of formula units. The calculated total energy is -6.256 eV per atom. Its space-group type is C2/m, No. 12.

***

[10]
First-principles (PBE-GGA) data for a geometry-optimized Cs3Tb2PuSe6 structure, as listed in Alexandria via LeMat-Bulk.

Geometry as CIF:
```
data_Cs3Tb2PuSe6
_symmetry_space_group_name_H-M 'P 1'
_symmetry_Int_Tables_number 1
_symmetry_space_group_name_Hall 'P 1'
_cell_length_a 7.478
_cell_length_b 7.478
_cell_length_c 8.719
_cell_angle_alpha 98.22
_cell_angle_beta 98.22
_cell_angle_gamma 120.00
loop_
_atom_site_label
_atom_site_fract_x
_atom_site_fract_y
_atom_site_fract_z
Se1 0.938 0.602 0.815
Se2 0.398 0.062 0.185
Se3 0.275 0.275 0.814
Se4 0.725 0.725 0.186
Se5 0.062 0.398 0.185
Se6 0.602 0.938 0.815
Tb1 0.667 0.333 0.000
Tb2 0.333 0.667 0.000
Cs1 0.500 0.500 0.500
Cs2 0.833 0.167 0.500
Cs3 0.167 0.833 0.500
Pu1 0.000 0.000 0.000
```

For the raw formation energy, the calculation gives -1874 kJ/mol of formula units. The calculated total energy is -5.540 eV per atom. Its space-group type is C2/m, No. 12.

***

[11]
First-principles (PBE-GGA) data for a geometry-optimized Cs2PuTeSe4 structure, as listed in Alexandria via LeMat-Bulk.

Geometry as CIF:
```
data_Cs2PuTeSe4
_symmetry_space_group_name_H-M 'P 1'
_symmetry_Int_Tables_number 1
_symmetry_space_group_name_Hall 'P 1'
_cell_length_a 7.504
_cell_length_b 7.504
_cell_length_c 7.504
_cell_angle_alpha 106.68
_cell_angle_beta 110.88
_cell_angle_gamma 110.88
loop_
_atom_site_label
_atom_site_fract_x
_atom_site_fract_y
_atom_site_fract_z
Se1 0.568 0.303 0.425
Se2 0.878 0.575 0.143
Se3 0.122 0.265 0.697
Se4 0.432 0.857 0.735
Cs1 0.500 0.750 0.250
Cs2 0.000 0.000 0.000
Te1 0.000 0.500 0.500
Pu1 0.500 0.250 0.750
```

For the raw formation energy, the calculation gives -614 kJ/mol of formula units. The calculated total energy is -4.936 eV per atom. Its space-group type is I-4, No. 82.

***

[12]
First-principles (PBE-GGA) data for a geometry-optimized CsPuThSe4 structure, as listed in Alexandria via LeMat-Bulk.

Geometry as CIF:
```
data_CsPuThSe4
_symmetry_space_group_name_H-M 'P 1'
_symmetry_Int_Tables_number 1
_symmetry_space_group_name_Hall 'P 1'
_cell_length_a 9.178
_cell_length_b 9.117
_cell_length_c 9.098
_cell_angle_alpha 119.93
_cell_angle_beta 90.00
_cell_angle_gamma 120.22
loop_
_atom_site_label
_atom_site_fract_x
_atom_site_fract_y
_atom_site_fract_z
Se1 0.275 0.550 0.323
Se2 0.725 0.450 0.273
Se3 0.275 0.550 0.727
Se4 0.722 0.039 0.269
Se5 0.317 0.039 0.269
Se6 0.278 0.961 0.731
Se7 0.683 0.961 0.731
Se8 0.725 0.450 0.677
Pu1 0.000 0.500 0.500
Pu2 0.500 0.500 0.500
Th1 0.500 0.000 0.000
Th2 0.500 0.000 0.500
Cs1 0.127 0.255 0.877
Cs2 0.873 0.745 0.123
```

For the raw formation energy, the calculation gives -1002 kJ/mol of formula units. The calculated total energy is -6.705 eV per atom. Its space-group type is Imma, No. 74.